# 1
# SrBe2Au3

A relaxed SrBe2Au3 crystal (GGA-PBE, Alexandria via LeMat-Bulk).

Cell lengths 6.5950, 6.5950, 5.2811 Å; angles 90.00, 90.00, 75.90 degrees
Atoms (fractional coordinates):
Sr1 0.1716 0.8284 0.7500
Sr2 0.8284 0.1716 0.2500
Be1 0.3032 0.3032 0.0000
Be2 0.3032 0.3032 0.5000
Be3 0.6968 0.6968 0.0000
Be4 0.6968 0.6968 0.5000
Au1 0.0007 0.3977 0.7500
Au2 0.3977 0.0007 0.2500
Au3 0.4357 0.5643 0.2500
Au4 0.5643 0.4357 0.7500
Au5 0.6023 0.9993 0.7500
Au6 0.9993 0.6023 0.2500

The formation energy is -2.55 eV per formula unit. For the magnetization, the calculation gives 0.0 μB/f.u.

# 2
# AcGaH

A relaxed AcGaH crystal (GGA-PBE, Alexandria via LeMat-Bulk).

Cell lengths 4.5706, 4.5706, 7.2376 Å; angles 90.00, 90.00, 90.00 degrees
Atoms (fractional coordinates):
Ac1 0.0000 0.0000 0.0000
Ac2 0.5000 0.5000 0.5000
Ga1 0.0000 0.0000 0.4307
Ga2 0.5000 0.5000 0.9307
H1 0.0000 0.0000 0.6626
H2 0.5000 0.5000 0.1626

Its energy above the most stable polymorph in this dataset is 468.0 meV per atom. For the magnetization, the calculation gives 0.4 μB/f.u.

# 3
# AcLu2Sc

A relaxed AcLu2Sc crystal (GGA-PBE, Alexandria via LeMat-Bulk).

Cell lengths 3.9363, 3.9363, 8.2697 Å; angles 90.00, 90.00, 90.00 degrees
Atoms (fractional coordinates):
Ac1 0.0000 0.0000 0.0000
Lu1 0.5000 0.5000 0.2920
Lu2 0.5000 0.5000 0.7080
Sc1 0.0000 0.0000 0.5000

The formation energy is 0.35 eV per formula unit. Its energy above the most stable polymorph in this dataset is 0.0 meV per atom. For the magnetization, the calculation gives 0.0 μB/f.u.

# 4
# RbGaSbPb

A relaxed RbGaSbPb crystal (GGA-PBE, Alexandria via LeMat-Bulk).

Cell lengths 4.6498, 4.6498, 13.9094 Å; angles 90.00, 90.00, 90.00 degrees
Atoms (fractional coordinates):
Rb1 0.2500 0.2500 0.2448
Rb2 0.7500 0.7500 0.7552
Ga1 0.2500 0.7500 0.5000
Ga2 0.7500 0.2500 0.5000
Sb1 0.2500 0.2500 0.6129
Sb2 0.7500 0.7500 0.3871
Pb1 0.2500 0.7500 0.0000
Pb2 0.7500 0.2500 0.0000

The uncorrected formation energy is -65 kJ/mol of formula units. For the magnetization, the calculation gives 0.0 μB/f.u.

# 5
# InSbTeN2

A relaxed InSbTeN2 crystal (GGA-PBE, Alexandria via LeMat-Bulk).

Cell lengths 4.3804, 4.3804, 6.0456 Å; angles 90.00, 90.00, 90.00 degrees
Atoms (fractional coordinates):
In1 0.0000 0.0000 0.0000
Sb1 0.5000 0.5000 0.5000
Te1 0.0000 0.0000 0.5000
N1 0.0000 0.5000 0.0000
N2 0.5000 0.0000 0.0000

The uncorrected formation energy is 683 kJ/mol of formula units. Its energy above the most stable polymorph in this dataset is 332.0 meV per atom. For the magnetization, the calculation gives 2.2 μB/f.u.

# 6
# Sr2LiGe2N4

A relaxed Sr2LiGe2N4 crystal (GGA-PBE, Alexandria via LeMat-Bulk).

Cell lengths 6.7421, 6.7421, 6.0161 Å; angles 108.44, 108.44, 30.07 degrees
Atoms (fractional coordinates):
Sr1 0.1177 0.1177 0.0043
Sr2 0.8823 0.8823 0.9957
Li1 0.0000 0.0000 0.5000
Ge1 0.3389 0.3389 0.5028
Ge2 0.6611 0.6611 0.4972
N1 0.2177 0.2177 0.6689
N2 0.4677 0.4677 0.7403
N3 0.5323 0.5323 0.2597
N4 0.7823 0.7823 0.3311

The uncorrected formation energy is -207 kJ/mol of formula units. For the magnetization, the calculation gives 0.0 μB/f.u.

# 7
# Zr3AlHg

A relaxed Zr3AlHg crystal (GGA-PBE, Alexandria via LeMat-Bulk).

Cell lengths 5.0080, 5.0080, 5.0080 Å; angles 90.00, 90.00, 90.00 degrees
Atoms (fractional coordinates):
Zr1 0.0000 0.0000 0.5000
Zr2 0.0000 0.5000 0.0000
Zr3 0.5000 0.0000 0.0000
Al1 0.0000 0.0000 0.0000
Hg1 0.5000 0.5000 0.5000

The formation energy is 2.49 eV per formula unit. Its energy above the most stable polymorph in this dataset is 0.0 meV per atom. For the magnetization, the calculation gives 0.0 μB/f.u.

# 8
# Ba2NaO2

A relaxed Ba2NaO2 crystal (GGA-PBE, Alexandria via LeMat-Bulk).

Cell lengths 4.8173, 4.8173, 14.5032 Å; angles 90.00, 90.00, 90.00 degrees
Atoms (fractional coordinates):
Ba1 0.0000 0.0000 0.1843
Ba2 0.0000 0.0000 0.8157
Ba3 0.5000 0.5000 0.3157
Ba4 0.5000 0.5000 0.6843
Na1 0.0000 0.0000 0.5000
Na2 0.5000 0.5000 0.0000
O1 0.0000 0.5000 0.2500
O2 0.0000 0.5000 0.7500
O3 0.5000 0.0000 0.2500
O4 0.5000 0.0000 0.7500

The uncorrected formation energy is -827 kJ/mol of formula units. Its energy above the most stable polymorph in this dataset is 160.7 meV per atom. For the magnetization, the calculation gives 0.0 μB/f.u.

# 9
# TiCd2AuSe

A relaxed TiCd2AuSe crystal (GGA-PBE, Alexandria via LeMat-Bulk).

Cell lengths 5.1599, 5.1599, 5.0478 Å; angles 90.00, 90.00, 90.00 degrees
Atoms (fractional coordinates):
Ti1 0.0000 0.0000 0.0000
Cd1 0.0000 0.5000 0.5000
Cd2 0.5000 0.0000 0.5000
Au1 0.0000 0.0000 0.5000
Se1 0.5000 0.5000 0.0000

The uncorrected formation energy is 170 kJ/mol of formula units. For the magnetization, the calculation gives 0.2 μB/f.u.

# 10
# AcOsC

A relaxed AcOsC crystal (GGA-PBE, Alexandria via LeMat-Bulk).

Cell lengths 3.0384, 3.0384, 10.9423 Å; angles 90.00, 90.00, 90.00 degrees
Atoms (fractional coordinates):
Ac1 0.0000 0.0000 0.0000
Ac2 0.5000 0.5000 0.5000
Os1 0.0000 0.0000 0.2742
Os2 0.5000 0.5000 0.7742
C1 0.0000 0.0000 0.7052
C2 0.5000 0.5000 0.2052

The formation energy is 2.81 eV per formula unit. Its energy above the most stable polymorph in this dataset is 764.7 meV per atom. For the magnetization, the calculation gives 0.0 μB/f.u.

# 11
# Lu2NiAu

A relaxed Lu2NiAu crystal (GGA-PBE, Alexandria via LeMat-Bulk).

Cell lengths 6.8560, 6.8560, 6.8560 Å; angles 90.00, 90.00, 90.00 degrees
Atoms (fractional coordinates):
Lu1 0.2500 0.2500 0.2500
Lu2 0.2500 0.2500 0.7500
Lu3 0.2500 0.7500 0.2500
Lu4 0.2500 0.7500 0.7500
Lu5 0.7500 0.2500 0.2500
Lu6 0.7500 0.2500 0.7500
Lu7 0.7500 0.7500 0.2500
Lu8 0.7500 0.7500 0.7500
Ni1 0.0000 0.0000 0.0000
Ni2 0.0000 0.5000 0.5000
Ni3 0.5000 0.0000 0.5000
Ni4 0.5000 0.5000 0.0000
Au1 0.0000 0.0000 0.5000
Au2 0.0000 0.5000 0.0000
Au3 0.5000 0.0000 0.0000
Au4 0.5000 0.5000 0.5000

The formation energy is -2.60 eV per formula unit. Its energy above the most stable polymorph in this dataset is 25.8 meV per atom. For the magnetization, the calculation gives 0.0 μB/f.u.

# 12
# LaCe3Sm2Te6

A relaxed LaCe3Sm2Te6 crystal (GGA-PBE, Alexandria via LeMat-Bulk).

Cell lengths 7.7475, 7.7475, 7.8391 Å; angles 99.49, 99.49, 120.09 degrees
Atoms (fractional coordinates):
La1 0.0000 0.0000 0.0000
Ce1 0.1638 0.8362 0.5000
Ce2 0.5000 0.5000 0.5000
Ce3 0.8362 0.1638 0.5000
Sm1 0.3325 0.6675 0.0000
Sm2 0.6675 0.3325 0.0000
Te1 0.0837 0.4224 0.2503
Te2 0.2570 0.2570 0.7533
Te3 0.4224 0.0837 0.2503
Te4 0.5776 0.9163 0.7497
Te5 0.7430 0.7430 0.2467
Te6 0.9163 0.5776 0.7497

The uncorrected formation energy is -1638 kJ/mol of formula units. For the magnetization, the calculation gives 3.4 μB/f.u.

| no. | calculated volume (Å³/atom) | raw total energy (eV per cell) |
| --- | --- | --- |
| 1 | 18.6 | -43.037 |
| 2 | 25.2 | -21.662 |
| 3 | 32.0 | -19.128 |
| 4 | 37.6 | -25.002 |
| 5 | 23.2 | -19.571 |
| 6 | 14.4 | -49.956 |
| 7 | 25.1 | -27.199 |
| 8 | 33.7 | -47.310 |
| 9 | 26.9 | -14.726 |
| 10 | 16.8 | -43.498 |
| 11 | 20.1 | -82.823 |
| 12 | 32.0 | -67.999 |